# 1
First-principles (GGA-PBE) data for crystalline InOs4Rh at its relaxed geometry, as listed in the Alexandria database.

abc: 5.184 5.184 5.184
angles: 60.00 60.00 60.00
Sites, in units of the cell vectors:
In  0.000  0.000  0.000
Os  0.128  0.624  0.624
Os  0.624  0.128  0.624
Os  0.624  0.624  0.128
Os  0.624  0.624  0.624
Rh  0.250  0.250  0.250

Computed properties:
* final energy: -8.43 eV per atom
* space group: F-43m, No. 216
* energy of formation: 0.7408 eV/atom
* size of the total moment: 0.004 μB/f.u.


# 2
First-principles (GGA-PBE) data for crystalline Th8P6Se at its relaxed geometry, as listed in the Alexandria database.

abc: 10.578 10.578 4.215
angles: 90.00 90.00 120.00
Sites, in units of the cell vectors:
Th  0.039  0.342  0.241
Th  0.302  0.961  0.241
Th  0.333  0.667  0.755
Th  0.342  0.302  0.759
Th  0.658  0.698  0.241
Th  0.667  0.333  0.245
Th  0.698  0.039  0.759
Th  0.961  0.658  0.759
P  0.133  0.649  0.255
P  0.351  0.484  0.255
P  0.484  0.133  0.745
P  0.516  0.867  0.255
P  0.649  0.516  0.745
P  0.867  0.351  0.745
Se  0.000  0.000  0.000

Computed properties:
* final energy: -7.47 eV per atom
* space group: P-3, No. 147
* size of the total moment: 0.000 μB/f.u.


# 3
First-principles (GGA-PBE) data for crystalline Rb2SnBr4Cl2 at its relaxed geometry, as listed in the Alexandria database.

abc: 7.629 7.629 7.789
angles: 120.68 120.68 60.22
Sites, in units of the cell vectors:
Rb  0.248  0.248  0.264
Rb  0.752  0.752  0.736
Sn  0.000  0.000  0.500
Br  0.222  0.734  0.239
Br  0.266  0.778  0.761
Br  0.734  0.222  0.239
Br  0.778  0.266  0.761
Cl  0.231  0.231  0.690
Cl  0.769  0.769  0.310

Computed properties:
* final energy: -3.10 eV per atom
* space group: C2/m, No. 12
* size of the total moment: 0.000 μB/f.u.


# 4
First-principles (GGA-PBE) data for crystalline Mn2Se at its relaxed geometry, as listed in the Alexandria database.

abc: 5.182 5.182 5.182
angles: 116.90 116.90 95.47
Sites, in units of the cell vectors:
Mn  0.179  0.679  0.858
Mn  0.321  0.179  0.500
Mn  0.679  0.821  0.500
Mn  0.821  0.321  0.142
Se  0.250  0.250  0.000
Se  0.750  0.750  0.000

Computed properties:
* final energy: -7.10 eV per atom
* space group: I4/mcm, No. 140
* size of the total moment: 7.416 μB/f.u.


# 5
First-principles (GGA-PBE) data for crystalline LiAcGe at its relaxed geometry, as listed in the Alexandria database.

abc: 4.542 4.542 4.335
angles: 90.00 90.00 120.00
Sites, in units of the cell vectors:
Li  0.000  0.000  0.000
Ac  0.667  0.333  0.501
Ge  0.333  0.667  0.998

Computed properties:
* final energy: -4.09 eV per atom
* ΔE to the lowest computed polymorph: 70 meV/atom
* space group: P3m1, No. 156
* energy of formation: -0.5406 eV/atom
* size of the total moment: 0.000 μB/f.u.


# 6
First-principles (GGA-PBE) data for crystalline AsPb2W at its relaxed geometry, as listed in the Alexandria database.

abc: 5.505 5.505 3.067
angles: 90.00 90.00 105.09
Sites, in units of the cell vectors:
As  0.000  0.000  0.000
Pb  0.000  0.500  0.500
Pb  0.500  0.000  0.500
W  0.500  0.500  0.000

Computed properties:
* final energy: -5.34 eV per atom
* space group: Cmmm, No. 65
* energy of formation: 0.9155 eV/atom
* size of the total moment: 0.000 μB/f.u.


# 7
First-principles (GGA-PBE) data for crystalline ErTm3Te6 at its relaxed geometry, as listed in the Alexandria database.

abc: 8.931 8.931 8.931
angles: 90.50 90.50 90.50
Sites, in units of the cell vectors:
Er  0.000  0.000  0.000
Er  0.500  0.500  0.500
Tm  0.075  0.743  0.582
Tm  0.257  0.418  0.925
Tm  0.418  0.925  0.257
Tm  0.582  0.075  0.743
Tm  0.743  0.582  0.075
Tm  0.925  0.257  0.418
Te  0.038  0.678  0.909
Te  0.091  0.962  0.322
Te  0.184  0.409  0.587
Te  0.322  0.091  0.962
Te  0.409  0.587  0.184
Te  0.413  0.816  0.591
Te  0.587  0.184  0.409
Te  0.591  0.413  0.816
Te  0.678  0.909  0.038
Te  0.816  0.591  0.413
Te  0.909  0.038  0.678
Te  0.962  0.322  0.091

Computed properties:
* final energy: -4.97 eV per atom
* ΔE to the lowest computed polymorph: 37 meV/atom
* space group: R-3, No. 148
* size of the total moment: 0.000 μB/f.u.


# 8
First-principles (GGA-PBE) data for crystalline Ce3HPt at its relaxed geometry, as listed in the Alexandria database.

abc: 7.960 7.960 3.646
angles: 90.00 90.00 109.23
Sites, in units of the cell vectors:
Ce  0.171  0.829  0.000
Ce  0.185  0.422  0.500
Ce  0.422  0.185  0.500
Ce  0.578  0.815  0.500
Ce  0.815  0.578  0.500
Ce  0.829  0.171  0.000
H  0.000  0.500  0.000
H  0.500  0.000  0.000
Pt  0.000  0.000  0.500
Pt  0.500  0.500  0.000

Computed properties:
* final energy: -5.89 eV per atom
* space group: Cmmm, No. 65
* size of the total moment: 1.712 μB/f.u.